(1)
# Nd2LuSb (PBE, optimized geometry)
# Uncorrected formation energy ... -0.51 eV/atom
# SG ... P4/mmm, No. 123
# Excess energy over the best structure of this formula in the dataset ... 0 meV/atom
data_Nd2LuSb
_cell_length_a 4.239
_cell_length_b 4.239
_cell_length_c 6.759
_cell_angle_alpha 90.00
_cell_angle_beta 90.00
_cell_angle_gamma 90.00
_symmetry_space_group_name_H-M 'P 1'
_symmetry_Int_Tables_number 1
_symmetry_space_group_name_Hall 'P 1'
loop_
_atom_site_label
_atom_site_type_symbol
_atom_site_fract_x
_atom_site_fract_y
_atom_site_fract_z
_atom_site_occupancy
Nd1 Nd 0.000 0.000 0.235 1
Nd2 Nd 0.000 0.000 0.765 1
Lu1 Lu 0.500 0.500 0.500 1
Sb1 Sb 0.500 0.500 0.000 1

***

(2)
# Sr2PbIO6 (PBE, optimized geometry)
# Uncorrected formation energy ... -1.56 eV/atom
# SG ... R-3, No. 148
data_Sr2PbIO6
_cell_length_a 6.059
_cell_length_b 6.059
_cell_length_c 6.059
_cell_angle_alpha 61.56
_cell_angle_beta 61.56
_cell_angle_gamma 61.56
_symmetry_space_group_name_H-M 'P 1'
_symmetry_Int_Tables_number 1
_symmetry_space_group_name_Hall 'P 1'
loop_
_atom_site_label
_atom_site_type_symbol
_atom_site_fract_x
_atom_site_fract_y
_atom_site_fract_z
_atom_site_occupancy
Sr1 Sr 0.234 0.234 0.234 1
Sr2 Sr 0.766 0.766 0.766 1
Pb1 Pb 0.500 0.500 0.500 1
I1 I 0.000 0.000 0.000 1
O1 O 0.127 0.321 0.796 1
O2 O 0.204 0.873 0.679 1
O3 O 0.321 0.796 0.127 1
O4 O 0.679 0.204 0.873 1
O5 O 0.796 0.127 0.321 1
O6 O 0.873 0.679 0.204 1

***

(3)
# BaSr (PBE, optimized geometry)
# SG ... Cmmm, No. 65
# ΔH_f (0 K) ... 0.00 eV per atom
# Excess energy over the best structure of this formula in the dataset ... 0 meV/atom
data_BaSr
_cell_length_a 4.229
_cell_length_b 4.229
_cell_length_c 6.870
_cell_angle_alpha 90.00
_cell_angle_beta 90.00
_cell_angle_gamma 109.05
_symmetry_space_group_name_H-M 'P 1'
_symmetry_Int_Tables_number 1
_symmetry_space_group_name_Hall 'P 1'
loop_
_atom_site_label
_atom_site_type_symbol
_atom_site_fract_x
_atom_site_fract_y
_atom_site_fract_z
_atom_site_occupancy
Ba1 Ba 0.000 0.000 0.000 1
Sr1 Sr 0.500 0.500 0.500 1

***

(4)
# CeTh2Ru (PBE, optimized geometry)
# SG ... P2_1/m, No. 11
# ΔH_f (0 K) ... -0.27 eV per atom
# Excess energy over the best structure of this formula in the dataset ... 0 meV/atom
data_CeTh2Ru
_cell_length_a 3.743
_cell_length_b 9.805
_cell_length_c 6.208
_cell_angle_alpha 90.00
_cell_angle_beta 107.47
_cell_angle_gamma 90.00
_symmetry_space_group_name_H-M 'P 1'
_symmetry_Int_Tables_number 1
_symmetry_space_group_name_Hall 'P 1'
loop_
_atom_site_label
_atom_site_type_symbol
_atom_site_fract_x
_atom_site_fract_y
_atom_site_fract_z
_atom_site_occupancy
Ce1 Ce 0.091 0.250 0.181 1
Ce2 Ce 0.909 0.750 0.819 1
Th1 Th 0.363 0.057 0.726 1
Th2 Th 0.363 0.443 0.726 1
Th3 Th 0.637 0.557 0.274 1
Th4 Th 0.637 0.943 0.274 1
Ru1 Ru 0.219 0.750 0.439 1
Ru2 Ru 0.781 0.250 0.561 1

***

(5)
# RbV2PdSe8 (PBE, optimized geometry)
# Uncorrected formation energy ... -0.38 eV/atom
# SG ... R-3, No. 148
data_RbV2PdSe8
_cell_length_a 10.508
_cell_length_b 10.508
_cell_length_c 10.508
_cell_angle_alpha 34.89
_cell_angle_beta 34.89
_cell_angle_gamma 34.89
_symmetry_space_group_name_H-M 'P 1'
_symmetry_Int_Tables_number 1
_symmetry_space_group_name_Hall 'P 1'
loop_
_atom_site_label
_atom_site_type_symbol
_atom_site_fract_x
_atom_site_fract_y
_atom_site_fract_z
_atom_site_occupancy
Rb1 Rb 0.000 0.000 0.000 1
V1 V 0.240 0.240 0.240 1
V2 V 0.760 0.760 0.760 1
Pd1 Pd 0.500 0.500 0.500 1
Se1 Se 0.133 0.780 0.432 1
Se2 Se 0.220 0.568 0.867 1
Se3 Se 0.317 0.317 0.317 1
Se4 Se 0.432 0.133 0.780 1
Se5 Se 0.568 0.867 0.220 1
Se6 Se 0.683 0.683 0.683 1
Se7 Se 0.780 0.432 0.133 1
Se8 Se 0.867 0.220 0.568 1

***

(6)
# Pm3BiRh (PBE, optimized geometry)
# SG ... Pm-3m, No. 221
# ΔH_f (0 K) ... -0.48 eV per atom
# Excess energy over the best structure of this formula in the dataset ... 214 meV/atom
data_Pm3BiRh
_cell_length_a 5.459
_cell_length_b 5.459
_cell_length_c 5.459
_cell_angle_alpha 90.00
_cell_angle_beta 90.00
_cell_angle_gamma 90.00
_symmetry_space_group_name_H-M 'P 1'
_symmetry_Int_Tables_number 1
_symmetry_space_group_name_Hall 'P 1'
loop_
_atom_site_label
_atom_site_type_symbol
_atom_site_fract_x
_atom_site_fract_y
_atom_site_fract_z
_atom_site_occupancy
Pm1 Pm 0.000 0.000 0.500 1
Pm2 Pm 0.000 0.500 0.000 1
Pm3 Pm 0.500 0.000 0.000 1
Bi1 Bi 0.500 0.500 0.500 1
Rh1 Rh 0.000 0.000 0.000 1

***

(7)
# CaYPS2 (PBE, optimized geometry)
# Uncorrected formation energy ... -0.83 eV/atom
# SG ... P4/mmm, No. 123
# Excess energy over the best structure of this formula in the dataset ... 0 meV/atom
data_CaYPS2
_cell_length_a 5.200
_cell_length_b 5.200
_cell_length_c 5.216
_cell_angle_alpha 90.00
_cell_angle_beta 90.00
_cell_angle_gamma 90.00
_symmetry_space_group_name_H-M 'P 1'
_symmetry_Int_Tables_number 1
_symmetry_space_group_name_Hall 'P 1'
loop_
_atom_site_label
_atom_site_type_symbol
_atom_site_fract_x
_atom_site_fract_y
_atom_site_fract_z
_atom_site_occupancy
Ca1 Ca 0.000 0.000 0.000 1
Y1 Y 0.500 0.500 0.500 1
P1 P 0.500 0.500 0.000 1
S1 S 0.000 0.500 0.500 1
S2 S 0.500 0.000 0.500 1

***

(8)
# Si3Tc (PBE, optimized geometry)
# Uncorrected formation energy ... 0.18 eV/atom
# SG ... I4/mmm, No. 139
# Excess energy over the best structure of this formula in the dataset ... 359 meV/atom
data_Si3Tc
_cell_length_a 4.539
_cell_length_b 4.539
_cell_length_c 4.539
_cell_angle_alpha 130.01
_cell_angle_beta 130.01
_cell_angle_gamma 73.40
_symmetry_space_group_name_H-M 'P 1'
_symmetry_Int_Tables_number 1
_symmetry_space_group_name_Hall 'P 1'
loop_
_atom_site_label
_atom_site_type_symbol
_atom_site_fract_x
_atom_site_fract_y
_atom_site_fract_z
_atom_site_occupancy
Si1 Si 0.000 0.000 0.000 1
Si2 Si 0.250 0.750 0.500 1
Si3 Si 0.750 0.250 0.500 1
Tc1 Tc 0.500 0.500 0.000 1

***

(9)
# MnNb2Zn (PBE, optimized geometry)
# SG ... P4/mmm, No. 123
# ΔH_f (0 K) ... 0.00 eV per atom
data_MnNb2Zn
_cell_length_a 3.011
_cell_length_b 3.011
_cell_length_c 6.851
_cell_angle_alpha 90.00
_cell_angle_beta 90.00
_cell_angle_gamma 90.00
_symmetry_space_group_name_H-M 'P 1'
_symmetry_Int_Tables_number 1
_symmetry_space_group_name_Hall 'P 1'
loop_
_atom_site_label
_atom_site_type_symbol
_atom_site_fract_x
_atom_site_fract_y
_atom_site_fract_z
_atom_site_occupancy
Mn1 Mn 0.000 0.000 0.000 1
Nb1 Nb 0.500 0.500 0.227 1
Nb2 Nb 0.500 0.500 0.773 1
Zn1 Zn 0.000 0.000 0.500 1

***

(10)
# MgCoAg2 (PBE, optimized geometry)
# SG ... I4/mmm, No. 139
# ΔH_f (0 K) ... 0.16 eV per atom
data_MgCoAg2
_cell_length_a 4.820
_cell_length_b 4.820
_cell_length_c 4.820
_cell_angle_alpha 129.57
_cell_angle_beta 129.57
_cell_angle_gamma 74.10
_symmetry_space_group_name_H-M 'P 1'
_symmetry_Int_Tables_number 1
_symmetry_space_group_name_Hall 'P 1'
loop_
_atom_site_label
_atom_site_type_symbol
_atom_site_fract_x
_atom_site_fract_y
_atom_site_fract_z
_atom_site_occupancy
Mg1 Mg 0.000 0.000 0.000 1
Co1 Co 0.500 0.500 0.000 1
Ag1 Ag 0.250 0.750 0.500 1
Ag2 Ag 0.750 0.250 0.500 1

***

(11)
# TcAgCl (PBE, optimized geometry)
# Uncorrected formation energy ... 0.98 eV/atom
# SG ... F-43m, No. 216
# Excess energy over the best structure of this formula in the dataset ... 648 meV/atom
data_TcAgCl
_cell_length_a 4.556
_cell_length_b 4.556
_cell_length_c 4.556
_cell_angle_alpha 60.00
_cell_angle_beta 60.00
_cell_angle_gamma 60.00
_symmetry_space_group_name_H-M 'P 1'
_symmetry_Int_Tables_number 1
_symmetry_space_group_name_Hall 'P 1'
loop_
_atom_site_label
_atom_site_type_symbol
_atom_site_fract_x
_atom_site_fract_y
_atom_site_fract_z
_atom_site_occupancy
Tc1 Tc 0.000 0.000 0.000 1
Ag1 Ag 0.250 0.250 0.250 1
Cl1 Cl 0.750 0.750 0.750 1

***

(12)
# Tl2AgPt (PBE, optimized geometry)
# SG ... P4/mmm, No. 123
# ΔH_f (0 K) ... 0.16 eV per atom
# Excess energy over the best structure of this formula in the dataset ... 98 meV/atom
data_Tl2AgPt
_cell_length_a 4.739
_cell_length_b 4.739
_cell_length_c 3.770
_cell_angle_alpha 90.00
_cell_angle_beta 90.00
_cell_angle_gamma 90.00
_symmetry_space_group_name_H-M 'P 1'
_symmetry_Int_Tables_number 1
_symmetry_space_group_name_Hall 'P 1'
loop_
_atom_site_label
_atom_site_type_symbol
_atom_site_fract_x
_atom_site_fract_y
_atom_site_fract_z
_atom_site_occupancy
Tl1 Tl 0.000 0.500 0.000 1
Tl2 Tl 0.500 0.000 0.000 1
Ag1 Ag 0.000 0.000 0.500 1
Pt1 Pt 0.500 0.500 0.500 1

***

(13)
# AcTh2BeN4 (PBE, optimized geometry)
# Uncorrected formation energy ... -1.34 eV/atom
# SG ... Cmcm, No. 63
data_AcTh2BeN4
_cell_length_a 6.304
_cell_length_b 6.304
_cell_length_c 11.643
_cell_angle_alpha 90.00
_cell_angle_beta 90.00
_cell_angle_gamma 146.15
_symmetry_space_group_name_H-M 'P 1'
_symmetry_Int_Tables_number 1
_symmetry_space_group_name_Hall 'P 1'
loop_
_atom_site_label
_atom_site_type_symbol
_atom_site_fract_x
_atom_site_fract_y
_atom_site_fract_z
_atom_site_occupancy
Ac1 Ac 0.094 0.906 0.750 1
Ac2 Ac 0.906 0.094 0.250 1
Th1 Th 0.368 0.632 0.556 1
Th2 Th 0.368 0.632 0.944 1
Th3 Th 0.632 0.368 0.056 1
Th4 Th 0.632 0.368 0.444 1
Be1 Be 0.194 0.806 0.250 1
Be2 Be 0.806 0.194 0.750 1
N1 N 0.000 0.000 0.000 1
N2 N 0.000 0.000 0.500 1
N3 N 0.263 0.737 0.127 1
N4 N 0.263 0.737 0.373 1
N5 N 0.420 0.580 0.750 1
N6 N 0.580 0.420 0.250 1
N7 N 0.737 0.263 0.627 1
N8 N 0.737 0.263 0.873 1